# 1
VASP calculation (GGA-PBE) on crystalline LaTa3Ag at its relaxed geometry.

It has space group Pm-3m (No. 221), with a = 4.889 Å, b = 4.889 Å, c = 4.889 Å, α = 90.00°, β = 90.00° and γ = 90.00°. The inequivalent atoms are La at (0.000, 0.000, 0.000), Ta at (0.000, 0.000, 0.500) and Ag at (0.500, 0.500, 0.500).

Its energy relative to the elements is 2.225 eV/atom. The value obtained for the polymorph energy (0 for the lowest one) is 0.586 eV/atom. Its density of states at the Fermi level is 0.6962 states/eV per atom.

# 2
VASP calculation (GGA-PBE) on crystalline LaTaAg2 at its relaxed geometry.

It has space group Pm (No. 6), with a = 2.993 Å, b = 4.764 Å, c = 6.329 Å, α = 90.00°, β = 103.61° and γ = 90.00°. The inequivalent atoms are La at (0.000, 0.000, 0.000), Ta at (0.671, 0.500, 0.339), Ag at (0.254, 0.000, 0.502) and Ag at (0.380, 0.500, 0.759).

Its energy relative to the elements is 0.340 eV/atom. The value obtained for the polymorph energy (0 for the lowest one) is 0.116 eV/atom. Its density of states at the Fermi level is 1.1211 states/eV per atom.

# 3
VASP calculation (GGA-PBE) on crystalline La2TaAg2 at its relaxed geometry.

It has space group I4/mmm (No. 139), with a = 3.770 Å, b = 3.770 Å, c = 19.039 Å, α = 90.00°, β = 90.00° and γ = 90.00°. The inequivalent atoms are La at (0.000, 0.000, 0.101), Ta at (0.000, 0.000, 0.500) and Ag at (0.000, 0.500, 0.250).

Its energy relative to the elements is 0.351 eV/atom. Its density of states at the Fermi level is 1.2032 states/eV per atom.

# 4
VASP calculation (GGA-PBE) on crystalline LaTaAg4 at its relaxed geometry.

It has space group F-43m (No. 216), with a = 7.978 Å, b = 7.978 Å, c = 7.978 Å, α = 90.00°, β = 90.00° and γ = 90.00°. The inequivalent atoms are La at (0.000, 0.000, 0.000), Ta at (0.250, 0.250, 0.750) and Ag at (0.124, 0.124, 0.376).

Its energy relative to the elements is 0.327 eV/atom. Its density of states at the Fermi level is 1.1255 states/eV per atom.

# 5
VASP calculation (GGA-PBE) on crystalline LaTaAg2 at its relaxed geometry.

It has space group Fm-3m (No. 225), with a = 7.154 Å, b = 7.154 Å, c = 7.154 Å, α = 90.00°, β = 90.00° and γ = 90.00°. The inequivalent atoms are La at (0.000, 0.000, 0.000), Ta at (0.000, 0.000, 0.500) and Ag at (0.250, 0.250, 0.250).

Its energy relative to the elements is 0.433 eV/atom. The value obtained for the polymorph energy (0 for the lowest one) is 0.209 eV/atom. Its density of states at the Fermi level is 1.0501 states/eV per atom.

# 6
VASP calculation (GGA-PBE) on crystalline La2TaAg at its relaxed geometry.

It has space group Immm (No. 71), with a = 3.654 Å, b = 5.526 Å, c = 10.088 Å, α = 90.00°, β = 90.00° and γ = 90.00°. The inequivalent atoms are La at (0.000, 0.000, 0.244), Ta at (0.000, 0.500, 0.500) and Ag at (0.000, 0.500, 0.000).

Its energy relative to the elements is 0.492 eV/atom. The value obtained for the polymorph energy (0 for the lowest one) is 0.292 eV/atom. Its density of states at the Fermi level is 1.0036 states/eV per atom.

# 7
VASP calculation (GGA-PBE) on crystalline LaTaAg2 at its relaxed geometry.

It has space group F-43m (No. 216), with a = 7.075 Å, b = 7.075 Å, c = 7.075 Å, α = 90.00°, β = 90.00° and γ = 90.00°. The inequivalent atoms are La at (0.000, 0.000, 0.000), Ta at (0.250, 0.250, 0.250), Ag at (0.000, 0.000, 0.500) and Ag at (0.250, 0.250, 0.750).

Its energy relative to the elements is 0.549 eV/atom. The value obtained for the polymorph energy (0 for the lowest one) is 0.325 eV/atom. Its density of states at the Fermi level is 0.8227 states/eV per atom.

# 8
VASP calculation (GGA-PBE) on crystalline La2TaAg at its relaxed geometry.

It has space group R-3m (No. 166, hexagonal axes), with a = 3.3479 Å, b = 3.3479 Å, c = 32.1399 Å, α = 90.00°, β = 90.00° and γ = 120.00°. The inequivalent atoms are La at (0.0000, 0.0000, 0.2478), Ta at (0.0000, 0.0000, 0.5000) and Ag at (0.0000, 0.0000, 0.0000).

Its energy relative to the elements is 0.390 eV/atom. The value obtained for the polymorph energy (0 for the lowest one) is 0.190 eV/atom. Its density of states at the Fermi level is 1.1153 states/eV per atom.

# 9
VASP calculation (GGA-PBE) on crystalline LaTaAg2 at its relaxed geometry.

It has space group I-4m2 (No. 119), with a = 4.330 Å, b = 4.330 Å, c = 9.367 Å, α = 90.00°, β = 90.00° and γ = 90.00°. The inequivalent atoms are La at (0.000, 0.000, 0.000), Ta at (0.000, 0.500, 0.750), Ag at (0.000, 0.000, 0.500) and Ag at (0.000, 0.500, 0.250).

Its energy relative to the elements is 0.466 eV/atom. The value obtained for the polymorph energy (0 for the lowest one) is 0.242 eV/atom. Its density of states at the Fermi level is 0.9863 states/eV per atom.

# 10
VASP calculation (GGA-PBE) on crystalline La2TaAg at its relaxed geometry.

It has space group C2/m (No. 12), with a = 10.209 Å, b = 3.197 Å, c = 6.427 Å, α = 90.00°, β = 95.99° and γ = 90.00°. The inequivalent atoms are La at (0.247, 0.000, 0.256), Ta at (0.000, 0.000, 0.500) and Ag at (0.000, 0.500, 0.000).

Its energy relative to the elements is 0.481 eV/atom. The value obtained for the polymorph energy (0 for the lowest one) is 0.281 eV/atom. Its density of states at the Fermi level is 1.0509 states/eV per atom.

# 11
VASP calculation (GGA-PBE) on crystalline La2TaAg at its relaxed geometry.

It has space group P4mm (No. 99), with a = 3.276 Å, b = 3.276 Å, c = 9.775 Å, α = 90.00°, β = 90.00° and γ = 90.00°. The inequivalent atoms are La at (0.000, 0.000, 0.000), La at (0.500, 0.500, 0.345), Ta at (0.000, 0.000, 0.581) and Ag at (0.500, 0.500, 0.757).

Its energy relative to the elements is 0.281 eV/atom. The value obtained for the polymorph energy (0 for the lowest one) is 0.081 eV/atom. Its density of states at the Fermi level is 0.8919 states/eV per atom.

# 12
VASP calculation (GGA-PBE) on crystalline LaTaAg2 at its relaxed geometry.

It has space group Cm (No. 8), with a = 10.204 Å, b = 3.005 Å, c = 5.769 Å, α = 90.00°, β = 99.76° and γ = 90.00°. The inequivalent atoms are La at (0.000, 0.000, 0.000), Ta at (0.249, 0.000, 0.691), Ag at (0.003, 0.500, 0.510) and Ag at (0.263, 0.500, 0.257).

Its energy relative to the elements is 0.383 eV/atom. The value obtained for the polymorph energy (0 for the lowest one) is 0.159 eV/atom. Its density of states at the Fermi level is 1.0635 states/eV per atom.

# 13
VASP calculation (GGA-PBE) on crystalline LaTaAg at its relaxed geometry.

It has space group I4mm (No. 107), with a = 3.152 Å, b = 3.152 Å, c = 13.752 Å, α = 90.00°, β = 90.00° and γ = 90.00°. The inequivalent atoms are La at (0.000, 0.000, 0.000), Ta at (0.000, 0.000, 0.678) and Ag at (0.000, 0.000, 0.312).

Its energy relative to the elements is 0.303 eV/atom. The value obtained for the polymorph energy (0 for the lowest one) is 0.000 eV/atom. Its density of states at the Fermi level is 0.5071 states/eV per atom.

# 14
VASP calculation (GGA-PBE) on crystalline La2TbAg at its relaxed geometry.

It has space group C2/c (No. 15), with a = 12.257 Å, b = 6.335 Å, c = 6.643 Å, α = 90.00°, β = 108.22° and γ = 90.00°. The inequivalent atoms are La at (0.216, 0.014, 0.110), Tb at (0.000, 0.335, 0.250) and Ag at (0.000, 0.194, 0.750).

Its energy relative to the elements is -0.042 eV/atom. The value obtained for the polymorph energy (0 for the lowest one) is 0.078 eV/atom. Its density of states at the Fermi level is 1.2282 states/eV per atom.

# 15
VASP calculation (GGA-PBE) on crystalline LaTbAg at its relaxed geometry.

It has space group I4mm (No. 107), with a = 3.715 Å, b = 3.715 Å, c = 12.755 Å, α = 90.00°, β = 90.00° and γ = 90.00°. The inequivalent atoms are La at (0.000, 0.000, 0.000), Tb at (0.000, 0.000, 0.295) and Ag at (0.000, 0.000, 0.665).

Its energy relative to the elements is -0.158 eV/atom. The value obtained for the polymorph energy (0 for the lowest one) is 0.013 eV/atom. Its density of states at the Fermi level is 1.3842 states/eV per atom.

# 16
VASP calculation (GGA-PBE) on crystalline LaTb2Ag3 at its relaxed geometry.

It has space group P4/mmm (No. 123), with a = 3.680 Å, b = 3.680 Å, c = 11.281 Å, α = 90.00°, β = 90.00° and γ = 90.00°. The inequivalent atoms are La at (0.000, 0.000, 0.000), Tb at (0.000, 0.000, 0.339), Ag at (0.500, 0.500, 0.185) and Ag at (0.500, 0.500, 0.500).

Its energy relative to the elements is -0.298 eV/atom. Its density of states at the Fermi level is 0.5481 states/eV per atom.

# 17
VASP calculation (GGA-PBE) on crystalline La6Tb2Ag at its relaxed geometry.

It has space group P-62m (No. 189), with a = 9.7734 Å, b = 9.7734 Å, c = 3.7148 Å, α = 90.00°, β = 90.00° and γ = 120.00°. The inequivalent atoms are La at (0.0000, 0.3776, 0.0000), La at (0.0000, 0.7281, 0.5000), Tb at (0.3333, 0.6667, 0.5000) and Ag at (0.0000, 0.0000, 0.0000).

Its energy relative to the elements is -0.037 eV/atom. Its density of states at the Fermi level is 1.5872 states/eV per atom.

# 18
VASP calculation (GGA-PBE) on crystalline La2Tb2Ag at its relaxed geometry.

It has space group I4/mmm (No. 139), with a = 3.701 Å, b = 3.701 Å, c = 22.573 Å, α = 90.00°, β = 90.00° and γ = 90.00°. The inequivalent atoms are La at (0.000, 0.000, 0.191), Tb at (0.000, 0.000, 0.422) and Ag at (0.000, 0.000, 0.000).

Its energy relative to the elements is -0.096 eV/atom. Its density of states at the Fermi level is 1.4078 states/eV per atom.

# 19
VASP calculation (GGA-PBE) on crystalline La2TbAg at its relaxed geometry.

It has space group Fm-3m (No. 225), with a = 7.886 Å, b = 7.886 Å, c = 7.886 Å, α = 90.00°, β = 90.00° and γ = 90.00°. The inequivalent atoms are La at (0.250, 0.250, 0.250), Tb at (0.000, 0.000, 0.000) and Ag at (0.000, 0.000, 0.500).

Its energy relative to the elements is 0.047 eV/atom. The value obtained for the polymorph energy (0 for the lowest one) is 0.167 eV/atom. Its density of states at the Fermi level is 0.9095 states/eV per atom.

# 20
VASP calculation (GGA-PBE) on crystalline LaTb4Ag at its relaxed geometry.

It has space group P4/mmm (No. 123), with a = 3.628 Å, b = 3.628 Å, c = 13.891 Å, α = 90.00°, β = 90.00° and γ = 90.00°. The inequivalent atoms are La at (0.000, 0.000, 0.000), Tb at (0.000, 0.000, 0.366), Tb at (0.500, 0.500, 0.186) and Ag at (0.500, 0.500, 0.500).

Its energy relative to the elements is -0.072 eV/atom. The value obtained for the polymorph energy (0 for the lowest one) is 0.000 eV/atom. Its density of states at the Fermi level is 1.4761 states/eV per atom.

# 21
VASP calculation (GGA-PBE) on crystalline La2TbAg at its relaxed geometry.

It has space group R3m (No. 160, hexagonal axes), with a = 3.7270 Å, b = 3.7270 Å, c = 32.0095 Å, α = 90.00°, β = 90.00° and γ = 120.00°. The inequivalent atoms are La at (0.0000, 0.0000, 0.0000), La at (0.0000, 0.0000, 0.1817), Tb at (0.0000, 0.0000, 0.4236) and Ag at (0.0000, 0.0000, 0.5916).

Its energy relative to the elements is 0.003 eV/atom. The value obtained for the polymorph energy (0 for the lowest one) is 0.124 eV/atom. Its density of states at the Fermi level is 1.1905 states/eV per atom.

# 22
VASP calculation (GGA-PBE) on crystalline LaTbAg at its relaxed geometry.

It has space group P3m1 (No. 156), with a = 5.1168 Å, b = 5.1168 Å, c = 3.8560 Å, α = 90.00°, β = 90.00° and γ = 120.00°. The inequivalent atoms are La at (0.0000, 0.0000, 0.0000), Tb at (0.6667, 0.3333, 0.4508) and Ag at (0.3333, 0.6667, 0.6154).

Its energy relative to the elements is -0.028 eV/atom. The value obtained for the polymorph energy (0 for the lowest one) is 0.143 eV/atom. Its density of states at the Fermi level is 1.2397 states/eV per atom.

# 23
VASP calculation (GGA-PBE) on crystalline LaTbAg4 at its relaxed geometry.

It has space group P-1 (No. 2), with a = 3.800 Å, b = 5.430 Å, c = 7.775 Å, α = 69.87°, β = 89.95° and γ = 69.64°. The inequivalent atoms are La at (0.000, 0.000, 0.000), Tb at (0.000, 0.000, 0.500), Ag at (0.328, 0.345, 0.653) and Ag at (0.333, 0.337, 0.183).

Its energy relative to the elements is -0.259 eV/atom. The value obtained for the polymorph energy (0 for the lowest one) is 0.000 eV/atom. Its density of states at the Fermi level is 0.5248 states/eV per atom.

# 24
VASP calculation (GGA-PBE) on crystalline LaTbAg4 at its relaxed geometry.

It has space group F-43m (No. 216), with a = 8.183 Å, b = 8.183 Å, c = 8.183 Å, α = 90.00°, β = 90.00° and γ = 90.00°. The inequivalent atoms are La at (0.000, 0.000, 0.000), Tb at (0.250, 0.250, 0.250) and Ag at (0.125, 0.125, 0.625).

Its energy relative to the elements is -0.161 eV/atom. The value obtained for the polymorph energy (0 for the lowest one) is 0.098 eV/atom. Its density of states at the Fermi level is 0.8364 states/eV per atom.

# 25
VASP calculation (GGA-PBE) on crystalline LaTb2Ag4 at its relaxed geometry.

It has space group I4/mmm (No. 139), with a = 7.548 Å, b = 7.548 Å, c = 6.753 Å, α = 90.00°, β = 90.00° and γ = 90.00°. The inequivalent atoms are La at (0.000, 0.000, 0.000), Tb at (0.000, 0.500, 0.000) and Ag at (0.250, 0.250, 0.250).

Its energy relative to the elements is -0.076 eV/atom. Its density of states at the Fermi level is 0.7224 states/eV per atom.

# 26
VASP calculation (GGA-PBE) on crystalline La2TbAg at its relaxed geometry.

It has space group C2/m (No. 12), with a = 7.507 Å, b = 7.514 Å, c = 9.485 Å, α = 90.00°, β = 113.27° and γ = 90.00°. The inequivalent atoms are La at (0.138, 0.000, 0.276), La at (0.250, 0.250, 0.000), Tb at (0.151, 0.500, 0.303) and Ag at (0.000, 0.249, 0.500).

Its energy relative to the elements is -0.120 eV/atom. The value obtained for the polymorph energy (0 for the lowest one) is 0.000 eV/atom. Its density of states at the Fermi level is 1.4604 states/eV per atom.

# 27
VASP calculation (GGA-PBE) on crystalline LaTb2Ag2 at its relaxed geometry.

It has space group P2_1/m (No. 11), with a = 5.272 Å, b = 4.965 Å, c = 11.208 Å, α = 90.00°, β = 94.90° and γ = 90.00°. The inequivalent atoms are La at (0.200, 0.250, 0.246), Tb at (0.251, 0.750, 0.494), Tb at (0.341, 0.250, 0.887), Ag at (0.145, 0.750, 0.004) and Ag at (0.273, 0.250, 0.633).

Its energy relative to the elements is -0.136 eV/atom. The value obtained for the polymorph energy (0 for the lowest one) is 0.076 eV/atom. Its density of states at the Fermi level is 1.1911 states/eV per atom.

# 28
VASP calculation (GGA-PBE) on crystalline LaTbAg at its relaxed geometry.

It has space group C2/m (No. 12), with a = 17.045 Å, b = 3.735 Å, c = 5.544 Å, α = 90.00°, β = 90.02° and γ = 90.00°. The inequivalent atoms are La at (0.079, 0.000, 0.249), Tb at (0.227, 0.000, 0.750) and Ag at (0.086, 0.500, 0.748).

Its energy relative to the elements is -0.171 eV/atom. The value obtained for the polymorph energy (0 for the lowest one) is 0.000 eV/atom. Its density of states at the Fermi level is 1.0578 states/eV per atom.